(1)
Here is a crystal of WSI2 relaxed with PBEsol from Alexandria via LeMat-Bulk. Energies are from SCAN.

extended XYZ file:
```
8
Lattice="6.614 0.213 0.312 -2.879 5.958 -0.312 -2.879 -2.473 5.430" Properties=species:S:1:pos:R:3 pbc="T T T"
I 2.871 4.586 1.854
I -3.455 -0.017 4.855
I -0.148 2.522 3.355
I 2.443 0.305 0.796
S -2.879 1.743 2.559
S 0.428 -0.259 4.150
W 0.000 0.000 0.000
W 0.428 3.957 1.279
```

Results
V in Å³ per cell: 219.96
Uncorrected formation energy in eV per atom: 1.2520
DOS(E_F) in states/eV per cell: 4.37
SG: I-42d (122)
VASP energy in eV/atom: -36.95

---

(2)
Here is a crystal of Y2SI relaxed with PBEsol from Alexandria via LeMat-Bulk. Energies are from SCAN.

extended XYZ file:
```
4
Lattice="-2.596 -1.491 4.031 2.250 -0.258 4.481 -1.175 3.305 3.593" Properties=species:S:1:pos:R:3 pbc="T T T"
I -0.761 0.778 6.052
Y -0.380 0.389 3.026
Y -1.141 1.167 9.079
S 0.000 0.000 0.000
```

Results
V in Å³ per cell: 89.51
Uncorrected formation energy in eV per atom: -1.1535
DOS(E_F) in states/eV per cell: 2.25
SG: Fm-3m (225)
VASP energy in eV/atom: -26.67

---

(3)
Here is a crystal of ZrSI3 relaxed with PBEsol from Alexandria via LeMat-Bulk. Energies are from SCAN.

extended XYZ file:
```
5
Lattice="5.373 0.000 0.000 0.000 5.373 0.000 0.000 0.000 5.373" Properties=species:S:1:pos:R:3 pbc="T T T"
I 0.000 2.687 0.000
I 0.000 0.000 2.687
I 2.687 0.000 0.000
S 0.000 0.000 0.000
Zr 2.687 2.687 2.687
```

Results
V in Å³ per cell: 155.12
Uncorrected formation energy in eV per atom: 0.5674
DOS(E_F) in states/eV per cell: 1.78
SG: Pm-3m (221)
VASP energy in eV/atom: -29.54

---

(4)
Here is a crystal of ScSb2WI relaxed with PBEsol from Alexandria via LeMat-Bulk. Energies are from SCAN.

extended XYZ file:
```
5
Lattice="5.130 0.000 0.000 0.000 5.130 0.000 0.000 0.000 5.610" Properties=species:S:1:pos:R:3 pbc="T T T"
I 0.000 0.000 2.805
Sb 0.000 2.565 0.000
Sb 2.565 0.000 0.000
Sc 2.565 2.565 2.805
W 0.000 0.000 0.000
```

Results
V in Å³ per cell: 147.61
Uncorrected formation energy in eV per atom: 0.7534
DOS(E_F) in states/eV per cell: 2.95
SG: P4/mmm (123)
VASP energy in eV/atom: -38.28